No. 1
A crystal of Li4Cu2C4SO16 relaxed with PBEsol, computed with SCAN.

It has space group Fddd (No. 70, origin choice 2), with a = 12.591 Å, b = 12.885 Å, c = 13.830 Å, α = 90.00°, β = 90.00° and γ = 90.00°. Symmetry generates all atoms from Li at (0.081, 0.375, 0.375), Li at (0.125, 0.330, 0.125), Cu at (0.000, 0.000, 0.500), C at (0.026, 0.028, 0.710), S at (0.125, 0.125, 0.125), O at (0.018, 0.099, 0.776), O at (0.038, 0.276, 0.888), O at (0.055, 0.056, 0.067) and O at (0.099, 0.292, 0.531).

Its formation energy without anion corrections is -1.520 eV/atom.



No. 2
A crystal of MgCuPt2C relaxed with PBEsol, computed with SCAN.

It has space group P4/mmm (No. 123), with a = 4.163 Å, b = 4.163 Å, c = 3.872 Å, α = 90.00°, β = 90.00° and γ = 90.00°. Symmetry generates all atoms from Mg at (0.000, 0.000, 0.000), Cu at (0.500, 0.500, 0.000), Pt at (0.000, 0.500, 0.500) and C at (0.500, 0.500, 0.500).

The calculation puts the energy of formation from the pure elements at -31 meV/atom.